Ba2LaSc | PBE | relaxed

The space group is Pmmm (No. 47) and the conventional cell measures 4.317, 6.169 and 6.328 Å, with angles of 90.00, 90.00 and 90.00 degrees. The distinct sites, in fractional coordinates, are Ba at (0.000, 0.000, 0.000), Ba at (0.500, 0.500, 0.000), La at (0.000, 0.500, 0.500) and Sc at (0.500, 0.000, 0.500).

The value obtained for the formation energy is 0.3554 eV/atom. The calculation puts the polymorph energy (0 for the lowest one) at 188 meV per atom. The value obtained for the volume is 42.1 Å³ per atom.